First-principles (meta-GGA SCAN) data for YInFe2 at its PBEsol-relaxed geometry, as listed in Alexandria via LeMat-Bulk.

Cell lengths 3.377, 3.377, 6.138 Å; angles 90.00, 90.00, 90.00 degrees
Each line ends with the local moment (μB).
Positions (direct):
Y  0.500  0.500  0.500  -0.53
Fe  0.000  0.000  0.195  2.56
Fe  0.000  0.000  0.805  2.56
In  0.500  0.500  0.000  -0.20

ΔH_f (0 K): 0.187 eV/atom
Calculated volume: 70.0 Å³/cell